NaLaH2S2O9: single point on PBEsol structure, SCAN.

Structure (POSCAR):
```
NaLaH2S2O9
1.0
7.021 0.000 0.000
-3.511 6.081 0.000
0.000 0.000 12.959
Na La H S O
3 3 6 6 27
Direct
0.000 0.475 0.167
0.475 0.000 0.833
0.525 0.525 0.500
0.000 0.431 0.667
0.431 0.000 0.333
0.569 0.569 0.000
0.042 0.106 0.367
0.064 0.958 0.034
0.106 0.042 0.633
0.894 0.936 0.700
0.936 0.894 0.300
0.958 0.064 0.966
0.013 0.454 0.911
0.441 0.987 0.578
0.454 0.013 0.089
0.546 0.559 0.244
0.559 0.546 0.756
0.987 0.441 0.422
0.000 0.074 0.667
0.074 0.000 0.333
0.118 0.618 0.348
0.132 0.391 0.488
0.136 0.640 0.839
0.164 0.405 0.971
0.241 0.836 0.638
0.259 0.868 0.154
0.360 0.496 0.172
0.382 0.499 0.681
0.391 0.132 0.512
0.405 0.164 0.029
0.496 0.360 0.828
0.499 0.382 0.319
0.501 0.882 0.014
0.504 0.864 0.506
0.595 0.759 0.304
0.609 0.741 0.821
0.618 0.118 0.652
0.640 0.136 0.161
0.741 0.609 0.179
0.759 0.595 0.696
0.836 0.241 0.362
0.864 0.504 0.494
0.868 0.259 0.846
0.882 0.501 0.986
0.926 0.926 0.000
```

## Properties
M_tot   0.00 μB per formula unit
Final energy   -10.74 eV per atom
Theoretical density   3350 kg/m3
DOS at the Fermi energy   0.00 states/eV per atom
Crystal system   trigonal
Space-group type   No. 152